No. 1
## Ce2Si3Rh2 (GGA-PBE)

Data for Ce2Si3Rh2 after structural relaxation.

Energy relative to the elements, uncorrected (meV per atom): -786.0

```
data_Ce2Si3Rh2
_cell_length_a 5.488
_cell_length_b 5.488
_cell_length_c 6.445
_cell_angle_alpha 112.74
_cell_angle_beta 112.74
_cell_angle_gamma 45.32
_space_group_name_H-M_alt 'P 1'
_space_group_IT_number 1
_space_group_name_Hall 'P 1'
loop_
_atom_site_label
_atom_site_type_symbol
_atom_site_fract_x
_atom_site_fract_y
_atom_site_fract_z
Ce1 Ce 0.159 0.159 0.282
Ce2 Ce 0.841 0.841 0.718
Si1 Si 0.391 0.391 0.063
Si2 Si 0.500 0.500 0.500
Si3 Si 0.609 0.609 0.937
Rh1 Rh 0.128 0.128 0.730
Rh2 Rh 0.872 0.872 0.270
```



No. 2
## TaMo (GGA-PBE)

Data for TaMo after structural relaxation.

Energy relative to the elements (meV/atom): -134

```
data_TaMo
_cell_length_a 7.253
_cell_length_b 7.253
_cell_length_c 7.253
_cell_angle_alpha 143.33
_cell_angle_beta 143.33
_cell_angle_gamma 52.83
_space_group_name_H-M_alt 'P 1'
_space_group_IT_number 1
_space_group_name_Hall 'P 1'
loop_
_atom_site_label
_atom_site_type_symbol
_atom_site_fract_x
_atom_site_fract_y
_atom_site_fract_z
Ta1 Ta 0.119 0.119 0.000
Ta2 Ta 0.250 0.750 0.500
Ta3 Ta 0.750 0.250 0.500
Ta4 Ta 0.881 0.881 0.000
Mo1 Mo 0.000 0.500 0.500
Mo2 Mo 0.376 0.376 0.000
Mo3 Mo 0.500 0.000 0.500
Mo4 Mo 0.624 0.624 0.000
```



No. 3
## YGa2Co5 (GGA-PBE)

Data for YGa2Co5 after structural relaxation.

Energy relative to the elements (meV/atom): -124

```
data_YGa2Co5
_cell_length_a 6.048
_cell_length_b 6.048
_cell_length_c 6.048
_cell_angle_alpha 144.80
_cell_angle_beta 113.06
_cell_angle_gamma 77.95
_space_group_name_H-M_alt 'P 1'
_space_group_IT_number 1
_space_group_name_Hall 'P 1'
loop_
_atom_site_label
_atom_site_type_symbol
_atom_site_fract_x
_atom_site_fract_y
_atom_site_fract_z
Y1 Y 0.000 0.000 0.000
Ga1 Ga 0.248 0.748 0.500
Ga2 Ga 0.752 0.252 0.500
Co1 Co 0.192 0.373 0.819
Co2 Co 0.445 0.627 0.819
Co3 Co 0.500 0.000 0.500
Co4 Co 0.555 0.373 0.181
Co5 Co 0.808 0.627 0.181
```



No. 4
## Cs12O5F (GGA-PBE)

Data for Cs12O5F after structural relaxation.

Energy relative to the elements, uncorrected (meV per atom): -1116.7

```
data_Cs12O5F
_cell_length_a 7.440
_cell_length_b 7.440
_cell_length_c 16.299
_cell_angle_alpha 90.03
_cell_angle_beta 90.03
_cell_angle_gamma 120.06
_space_group_name_H-M_alt 'P 1'
_space_group_IT_number 1
_space_group_name_Hall 'P 1'
loop_
_atom_site_label
_atom_site_type_symbol
_atom_site_fract_x
_atom_site_fract_y
_atom_site_fract_z
Cs1 Cs 0.000 0.333 0.407
Cs2 Cs 0.000 0.667 0.593
Cs3 Cs 0.152 0.152 0.097
Cs4 Cs 0.152 0.500 0.903
Cs5 Cs 0.333 0.000 0.407
Cs6 Cs 0.334 0.334 0.593
Cs7 Cs 0.500 0.152 0.903
Cs8 Cs 0.500 0.848 0.097
Cs9 Cs 0.666 0.666 0.407
Cs10 Cs 0.667 0.000 0.593
Cs11 Cs 0.848 0.500 0.097
Cs12 Cs 0.848 0.848 0.903
O1 O 0.000 0.000 0.500
O2 O 0.167 0.833 0.000
O3 O 0.333 0.667 0.500
O4 O 0.667 0.333 0.500
O5 O 0.833 0.167 0.000
F1 F 0.500 0.500 0.000
```



No. 5
## RbCeIn2Br6 (GGA-PBE)

Data for RbCeIn2Br6 after structural relaxation.

Energy relative to the elements, uncorrected (meV per atom): -1351.7

```
data_RbCeIn2Br6
_cell_length_a 8.619
_cell_length_b 8.619
_cell_length_c 8.619
_cell_angle_alpha 57.46
_cell_angle_beta 57.46
_cell_angle_gamma 57.46
_space_group_name_H-M_alt 'P 1'
_space_group_IT_number 1
_space_group_name_Hall 'P 1'
loop_
_atom_site_label
_atom_site_type_symbol
_atom_site_fract_x
_atom_site_fract_y
_atom_site_fract_z
Rb1 Rb 0.000 0.000 0.000
Ce1 Ce 0.489 0.489 0.489
In1 In 0.289 0.289 0.289
In2 In 0.797 0.797 0.797
Br1 Br 0.123 0.669 0.410
Br2 Br 0.240 0.597 0.840
Br3 Br 0.410 0.123 0.669
Br4 Br 0.597 0.840 0.240
Br5 Br 0.669 0.410 0.123
Br6 Br 0.840 0.240 0.597
```



No. 6
## Zn2CuTc (GGA-PBE)

Data for Zn2CuTc after structural relaxation.

Energy relative to the elements (meV/atom): 459

```
data_Zn2CuTc
_cell_length_a 5.461
_cell_length_b 5.461
_cell_length_c 5.461
_cell_angle_alpha 103.13
_cell_angle_beta 103.13
_cell_angle_gamma 123.07
_space_group_name_H-M_alt 'P 1'
_space_group_IT_number 1
_space_group_name_Hall 'P 1'
loop_
_atom_site_label
_atom_site_type_symbol
_atom_site_fract_x
_atom_site_fract_y
_atom_site_fract_z
Zn1 Zn 0.106 0.625 0.981
Zn2 Zn 0.375 0.356 0.481
Zn3 Zn 0.644 0.125 0.019
Zn4 Zn 0.875 0.894 0.519
Cu1 Cu 0.000 0.000 0.000
Cu2 Cu 0.750 0.250 0.500
Tc1 Tc 0.250 0.750 0.500
Tc2 Tc 0.500 0.500 0.000
```



No. 7
## Rb2TcOsCl (GGA-PBE)

Data for Rb2TcOsCl after structural relaxation.

Energy relative to the elements, uncorrected (meV per atom): 1472.3

```
data_Rb2TcOsCl
_cell_length_a 6.188
_cell_length_b 6.188
_cell_length_c 4.664
_cell_angle_alpha 90.00
_cell_angle_beta 90.00
_cell_angle_gamma 90.00
_space_group_name_H-M_alt 'P 1'
_space_group_IT_number 1
_space_group_name_Hall 'P 1'
loop_
_atom_site_label
_atom_site_type_symbol
_atom_site_fract_x
_atom_site_fract_y
_atom_site_fract_z
Rb1 Rb 0.000 0.500 0.000
Rb2 Rb 0.500 0.000 0.000
Tc1 Tc 0.000 0.000 0.500
Os1 Os 0.500 0.500 0.500
Cl1 Cl 0.000 0.000 0.000
```



No. 8
## TbSm2Dy6Sc (GGA-PBE)

Data for TbSm2Dy6Sc after structural relaxation.

Energy relative to the elements (meV/atom): 124

```
data_TbSm2Dy6Sc
_cell_length_a 8.681
_cell_length_b 8.681
_cell_length_c 9.543
_cell_angle_alpha 94.35
_cell_angle_beta 94.35
_cell_angle_gamma 117.44
_space_group_name_H-M_alt 'P 1'
_space_group_IT_number 1
_space_group_name_Hall 'P 1'
loop_
_atom_site_label
_atom_site_type_symbol
_atom_site_fract_x
_atom_site_fract_y
_atom_site_fract_z
Tb1 Tb 0.019 0.981 0.750
Tb2 Tb 0.981 0.019 0.250
Sm1 Sm 0.199 0.300 0.545
Sm2 Sm 0.300 0.199 0.045
Sm3 Sm 0.700 0.801 0.955
Sm4 Sm 0.801 0.700 0.455
Dy1 Dy 0.009 0.569 0.691
Dy2 Dy 0.126 0.748 0.056
Dy3 Dy 0.252 0.874 0.444
Dy4 Dy 0.294 0.505 0.883
Dy5 Dy 0.431 0.991 0.809
Dy6 Dy 0.495 0.706 0.617
Dy7 Dy 0.505 0.294 0.383
Dy8 Dy 0.569 0.009 0.191
Dy9 Dy 0.706 0.495 0.117
Dy10 Dy 0.748 0.126 0.556
Dy11 Dy 0.874 0.252 0.944
Dy12 Dy 0.991 0.431 0.309
Sc1 Sc 0.411 0.589 0.250
Sc2 Sc 0.589 0.411 0.750
```



No. 9
## Cu5Pd5Pt (GGA-PBE)

Data for Cu5Pd5Pt after structural relaxation.

Energy relative to the elements (meV/atom): 8

```
data_Cu5Pd5Pt
_cell_length_a 5.222
_cell_length_b 5.346
_cell_length_c 6.199
_cell_angle_alpha 77.89
_cell_angle_beta 79.79
_cell_angle_gamma 73.80
_space_group_name_H-M_alt 'P 1'
_space_group_IT_number 1
_space_group_name_Hall 'P 1'
loop_
_atom_site_label
_atom_site_type_symbol
_atom_site_fract_x
_atom_site_fract_y
_atom_site_fract_z
Cu1 Cu 0.000 0.000 0.000
Cu2 Cu 0.182 0.730 0.327
Cu3 Cu 0.305 0.368 0.665
Cu4 Cu 0.695 0.632 0.335
Cu5 Cu 0.818 0.270 0.673
Pd1 Pd 0.140 0.264 0.295
Pd2 Pd 0.327 0.873 0.649
Pd3 Pd 0.500 0.500 0.000
Pd4 Pd 0.673 0.127 0.351
Pd5 Pd 0.860 0.736 0.705
Pt1 Pt 0.500 0.000 0.000
```



No. 10
## Mn2PdPt6 (GGA-PBE)

Data for Mn2PdPt6 after structural relaxation.

Energy relative to the elements (meV/atom): -272

```
data_Mn2PdPt6
_cell_length_a 8.302
_cell_length_b 8.302
_cell_length_c 3.994
_cell_angle_alpha 90.00
_cell_angle_beta 90.00
_cell_angle_gamma 90.00
_space_group_name_H-M_alt 'P 1'
_space_group_IT_number 1
_space_group_name_Hall 'P 1'
loop_
_atom_site_label
_atom_site_type_symbol
_atom_site_fract_x
_atom_site_fract_y
_atom_site_fract_z
Mn1 Mn 0.164 0.164 0.000
Mn2 Mn 0.336 0.664 0.500
Mn3 Mn 0.664 0.336 0.500
Mn4 Mn 0.836 0.836 0.000
Pd1 Pd 0.000 0.000 0.500
Pd2 Pd 0.500 0.500 0.000
Pt1 Pt 0.010 0.667 0.500
Pt2 Pt 0.167 0.490 0.000
Pt3 Pt 0.168 0.832 0.000
Pt4 Pt 0.332 0.332 0.500
Pt5 Pt 0.333 0.990 0.500
Pt6 Pt 0.490 0.167 0.000
Pt7 Pt 0.510 0.833 0.000
Pt8 Pt 0.667 0.010 0.500
Pt9 Pt 0.668 0.668 0.500
Pt10 Pt 0.832 0.168 0.000
Pt11 Pt 0.833 0.510 0.000
Pt12 Pt 0.990 0.333 0.500
```



No. 11
## LaSi3Br (GGA-PBE)

Data for LaSi3Br after structural relaxation.

Energy relative to the elements, uncorrected (meV per atom): 1301.5

```
data_LaSi3Br
_cell_length_a 5.679
_cell_length_b 5.679
_cell_length_c 5.679
_cell_angle_alpha 90.00
_cell_angle_beta 90.00
_cell_angle_gamma 90.00
_space_group_name_H-M_alt 'P 1'
_space_group_IT_number 1
_space_group_name_Hall 'P 1'
loop_
_atom_site_label
_atom_site_type_symbol
_atom_site_fract_x
_atom_site_fract_y
_atom_site_fract_z
La1 La 0.000 0.000 0.000
Si1 Si 0.000 0.000 0.500
Si2 Si 0.000 0.500 0.000
Si3 Si 0.500 0.000 0.000
Br1 Br 0.500 0.500 0.500
```